No. 1
DFT (GGA-PBE) results for crystalline Y2ZrPb at its relaxed geometry.

a = 5.3017 Å, b = 5.3017 Å, c = 5.3017 Å
α = 60.00°, β = 60.00°, γ = 60.00°
Element x y z (fractional)
Y (0.0000, 0.0000, 0.0000)
Y (0.2500, 0.2500, 0.2500)
Zr (0.7500, 0.7500, 0.7500)
Pb (0.5000, 0.5000, 0.5000)

Computed properties:
As for the energy relative to the elements: -0.015 eV/atom. For the density of states at the Fermi level, the calculation gives 0.601 states/eV per atom.


No. 2
DFT (GGA-PBE) results for crystalline Y2ZrPb at its relaxed geometry.

a = 3.4299 Å, b = 3.4299 Å, c = 9.5894 Å
α = 90.00°, β = 90.00°, γ = 90.00°
Element x y z (fractional)
Y (0.0000, 0.0000, 0.0000)
Y (0.5000, 0.5000, 0.2928)
Zr (0.0000, 0.0000, 0.5321)
Pb (0.5000, 0.5000, 0.7584)

Computed properties:
As for the energy relative to the elements: -0.086 eV/atom. For the density of states at the Fermi level, the calculation gives 1.163 states/eV per atom.


No. 3
DFT (GGA-PBE) results for crystalline YZr2Pb at its relaxed geometry.

a = 3.3858 Å, b = 5.1632 Å, c = 5.8497 Å
α = 90.00°, β = 96.11°, γ = 90.00°
Element x y z (fractional)
Y (0.0000, 0.0000, 0.0000)
Zr (0.4182, 0.0000, 0.5068)
Zr (0.8563, 0.5000, 0.3640)
Pb (0.4625, 0.5000, 0.8352)

Computed properties:
As for the energy relative to the elements: -0.093 eV/atom. For the density of states at the Fermi level, the calculation gives 1.249 states/eV per atom.


No. 4
DFT (GGA-PBE) results for crystalline Y2ZrPb at its relaxed geometry.

a = 6.0052 Å, b = 6.0052 Å, c = 6.0052 Å
α = 134.75°, β = 134.75°, γ = 65.92°
Element x y z (fractional)
Y (0.2500, 0.7500, 0.5000)
Y (0.7500, 0.2500, 0.5000)
Zr (0.0000, 0.0000, 0.0000)
Pb (0.5000, 0.5000, 0.0000)

Computed properties:
As for the energy relative to the elements: -0.157 eV/atom. For the density of states at the Fermi level, the calculation gives 1.093 states/eV per atom.


> What is the formula in the first record?

Y2ZrPb


> Which value of energy relative to the elements does entry 1 give?

-0.015 eV/atom